{
  "formula": "ReN",
  "functional": "PBE",
  "state": "relaxed",
  "spacegroup": "P6_3mc (186)",
  "dft_energy_ev_per_atom": -10.243,
  "e_above_lowest_polymorph_ev_per_fu": 0.14,
  "lattice": [[2.7659, 0.0000, 0.0000], [-1.3829, 2.3953, 0.0000], [0.0000, 0.0000, 6.7351]],
  "species": ["Re", "Re", "N", "N"],
  "frac_coords": [[0.3333, 0.6667, 0.0000], [0.6667, 0.3333, 0.5000], [0.3333, 0.6667, 0.3085], [0.6667, 0.3333, 0.8085]]
}